Here is crystalline PaRhWO6 at its relaxed geometry from Alexandria. Energies are from GGA+U.

a b c (Å): 5.480 5.480 8.733
angles (deg): 90.00 90.00 120.00
Each line ends with the local moment (μB).
Fractional coordinates of all 18 atoms:
O 0.660 0.677 0.625  0.00
O 0.983 0.323 0.125  0.00
O 0.660 0.983 0.875  0.00
O 0.340 0.017 0.125  0.00
O 0.340 0.323 0.375  0.00
O 0.017 0.340 0.625  0.00
O 0.983 0.660 0.375  0.00
O 0.677 0.660 0.125  0.00
O 0.323 0.340 0.875  0.00
O 0.677 0.017 0.375  0.00
O 0.017 0.677 0.875  0.00
O 0.323 0.983 0.625  0.00
W 0.667 0.333 0.250  1.64
W 0.333 0.667 0.750  1.64
Rh 0.000 0.000 0.500  0.17
Rh 0.000 0.000 0.000  0.17
Pa 0.333 0.667 0.250  0.12
Pa 0.667 0.333 0.750  0.12

Computed properties:
Magnetic moment   2.0 μB/f.u.
Total energy   -8.032 eV/atom